1.
A plane-wave DFT calculation with PBE was carried out for a relaxed Li8Cu2Pd crystal.

Cell: 7.423 7.423 4.825 Å, 91.52 91.52 39.30°
Fractional positions:
Li: 0.146 0.673 0.928
Li: 0.195 0.195 0.579
Li: 0.327 0.854 0.072
Li: 0.409 0.409 0.425
Li: 0.591 0.591 0.575
Li: 0.673 0.146 0.928
Li: 0.805 0.805 0.421
Li: 0.854 0.327 0.072
Cu: 0.259 0.259 0.067
Cu: 0.741 0.741 0.933
Pd: 0.000 0.000 0.500

Properties
formation energy from the elements	-78	kJ/mol of formula units
VASP energy	-2.682	eV per atom
E above lowest polymorph	40.8	meV/atom
ρ	2.852	g cm⁻³
calculated volume	15.301	Å³/atom
symmetry	C2/m



2.
A plane-wave DFT calculation with PBE was carried out for a relaxed Li15Cu2Pd2 crystal.

Cell: 7.020 7.020 7.020 Å, 70.61 70.61 70.61°
Fractional positions:
Li: 0.000 0.000 0.500
Li: 0.000 0.282 0.718
Li: 0.000 0.500 0.000
Li: 0.000 0.718 0.282
Li: 0.188 0.560 0.560
Li: 0.282 0.000 0.718
Li: 0.282 0.718 0.000
Li: 0.440 0.440 0.812
Li: 0.440 0.812 0.440
Li: 0.500 0.000 0.000
Li: 0.560 0.188 0.560
Li: 0.560 0.560 0.188
Li: 0.718 0.000 0.282
Li: 0.718 0.282 0.000
Li: 0.812 0.440 0.440
Cu: 0.278 0.278 0.278
Cu: 0.722 0.722 0.722
Pd: 0.096 0.096 0.096
Pd: 0.904 0.904 0.904

Properties
formation energy from the elements	23	kJ/mol of formula units
VASP energy	-2.476	eV per atom
ρ	2.473	g cm⁻³
calculated volume	15.693	Å³/atom
symmetry	R-3m



3.
A plane-wave DFT calculation with PBE was carried out for a relaxed Li2Cu8Pd crystal.

Cell: 7.279 7.279 4.241 Å, 95.10 95.10 39.47°
Fractional positions:
Li: 0.213 0.213 0.225
Li: 0.787 0.787 0.775
Cu: 0.041 0.041 0.255
Cu: 0.115 0.626 0.284
Cu: 0.317 0.317 0.760
Cu: 0.374 0.885 0.716
Cu: 0.626 0.115 0.284
Cu: 0.683 0.683 0.240
Cu: 0.885 0.374 0.716
Cu: 0.959 0.959 0.745
Pd: 0.500 0.500 0.000

Properties
formation energy from the elements	51	kJ/mol of formula units
VASP energy	-3.751	eV per atom
ρ	7.341	g cm⁻³
calculated volume	12.928	Å³/atom
symmetry	C2/m